NbFeAsOs after structural relaxation. Source: OQMD, functional PBE.

Results
Crystal system = cubic
Energy above the most stable polymorph in this dataset = 95.4 meV per atom

Lattice parameters (Å, degrees): 4.4093 4.4093 4.4093 60.00 60.00 60.00
Atoms (fractional coordinates):
Nb: 0.0000 0.0000 0.0000
Fe: 0.5000 0.5000 0.5000
As: 0.2500 0.2500 0.2500
Os: 0.7500 0.7500 0.7500